An optimized crystal structure of Sr3Zr4. Source: OQMD, functional PBE.

Computed properties:
M_tot ... 0.0 μB/f.u.
Electronic total energy ... -73.6 eV/cell

Geometry as extended XYZ:
```
14
Lattice="6.837 7.894 0.000 -3.422 9.871 0.000 0.000 0.000 4.873" Properties=species:S:1:pos:R:3 pbc="T T T"
Sr 3.771 10.764 0.000
Sr 0.598 7.141 0.000
Sr -0.960 11.705 0.000
Sr 3.234 8.034 2.436
Sr 1.676 12.598 2.436
Sr -1.497 8.974 2.436
Zr 6.045 7.709 0.000
Zr 3.975 5.326 0.000
Zr -0.003 3.950 0.000
Zr 3.653 14.594 0.000
Zr 1.722 4.542 2.436
Zr -0.348 2.159 2.436
Zr -1.379 5.144 2.436
Zr 2.277 15.789 2.436
```